A plane-wave DFT calculation with PBE was carried out for an optimized crystal structure of Dy2MgPd6.

N(E_F), states/eV per cell: 3.5
E_form, eV/atom: -0.533
Space-group type: C2/m, No. 12

Unit cell a=3.379 b=7.910 c=7.927 alpha=119.93 beta=101.98 gamma=90.00
Fractional positions:
1 Pd 0.166 0.377 0.332
2 Pd 0.834 0.044 0.668
3 Pd 0.834 0.623 0.668
4 Pd 0.500 0.259 0.000
5 Pd 0.166 0.956 0.332
6 Pd 0.500 0.741 0.000
7 Dy 0.657 0.657 0.314
8 Dy 0.343 0.343 0.686
9 Mg 0.000 0.000 0.000